# Cs2NaNpCl8 (PBE, relaxed)
# VASP energy   -50.8 eV for the cell shown
# Raw formation energy   -1669 meV per atom
data_Cs2NaNpCl8
_space_group_name_H-M_alt 'P -1'
_space_group_IT_number 2
_cell_length_a 7.049
_cell_length_b 7.160
_cell_length_c 10.600
_cell_angle_alpha 89.67
_cell_angle_beta 89.99
_cell_angle_gamma 82.86
loop_
_space_group_symop_operation_xyz
'x,y,z'
'-x,-y,-z'
loop_
_atom_site_label
_atom_site_type_symbol
_atom_site_fract_x
_atom_site_fract_y
_atom_site_fract_z
_atom_site_occupancy
Cs1 Cs 0.003 0.000 0.232 1
Na1 Na 0.500 0.500 0.000 1
Np1 Np 0.500 0.500 0.500 1
Cl1 Cl 0.173 0.692 0.501 1
Cl2 Cl 0.219 0.758 0.000 1
Cl3 Cl 0.393 0.295 0.328 1
Cl4 Cl 0.394 0.285 0.668 1